--- i ---
The following is a PBE-GGA calculation of a relaxed structure of KVIr2, from Alexandria. Values from VASP.

Quantum ESPRESSO input file:
```
&SYSTEM
  ibrav = 0, nat = 4, ntyp = 3
/
ATOMIC_SPECIES
K 39.10 K.upf
Ir 192.22 Ir.upf
V 50.94 V.upf
CELL_PARAMETERS angstrom
0.0000 3.2210 3.2210
3.2210 0.0000 3.2210
3.2210 3.2210 0.0000
ATOMIC_POSITIONS crystal
K 0.0000 0.0000 0.0000
Ir 0.2500 0.2500 0.2500
Ir 0.7500 0.7500 0.7500
V 0.5000 0.5000 0.5000
```

Computed properties:
total moment = 0.140 μB/atom

***

--- ii ---
The following is a PBE-GGA calculation of a relaxed structure of KVIr2, from Alexandria. Values from VASP.

Quantum ESPRESSO input file:
```
&SYSTEM
  ibrav = 0, nat = 8, ntyp = 3
/
ATOMIC_SPECIES
K 39.10 K.upf
Ir 192.22 Ir.upf
V 50.94 V.upf
CELL_PARAMETERS angstrom
7.3152 0.0000 0.0000
0.0000 7.3152 0.0000
3.6576 3.6576 2.9912
ATOMIC_POSITIONS crystal
K 0.5000 0.5000 0.0000
K 0.2500 0.7500 0.5000
Ir 0.6950 0.1250 0.2500
Ir 0.0550 0.6250 0.2500
Ir 0.3750 0.3050 0.7500
Ir 0.8750 0.9450 0.7500
V 0.0000 0.0000 0.0000
V 0.7500 0.2500 0.5000
```

Computed properties:
total moment = 0.000 μB/atom

***

Of them, i has the lowest stability.

***

--- i ---
The following is a PBE-GGA calculation of a relaxed structure of KIr3W, from Alexandria. Values from VASP.

Quantum ESPRESSO input file:
```
&SYSTEM
  ibrav = 0, nat = 5, ntyp = 3
/
ATOMIC_SPECIES
K 39.10 K.upf
Ir 192.22 Ir.upf
W 183.84 W.upf
CELL_PARAMETERS angstrom
-1.7336 -0.2835 4.2019
2.5417 -3.6935 0.7995
3.3579 2.6493 1.5642
ATOMIC_POSITIONS crystal
K 0.0000 0.0000 0.0000
Ir 0.0000 0.5000 0.0000
Ir 0.0000 0.0000 0.5000
Ir 0.5000 0.0000 0.0000
W 0.5000 0.5000 0.5000
```

Computed properties:
total moment = 0.000 μB/atom

***

--- ii ---
The following is a PBE-GGA calculation of a relaxed structure of KIr3W, from Alexandria. Values from VASP.

Quantum ESPRESSO input file:
```
&SYSTEM
  ibrav = 0, nat = 5, ntyp = 3
/
ATOMIC_SPECIES
K 39.10 K.upf
Ir 192.22 Ir.upf
W 183.84 W.upf
CELL_PARAMETERS angstrom
-3.2967 -0.0469 3.5555
-0.4051 -4.8120 -0.4390
3.5326 -0.5955 3.2677
ATOMIC_POSITIONS crystal
K 0.5000 0.5000 0.5000
Ir 0.0000 0.5000 0.0000
Ir 0.0000 0.0000 0.5000
Ir 0.5000 0.0000 0.0000
W 0.0000 0.0000 0.0000
```

Computed properties:
total moment = 0.000 μB/atom

***

Of them, i has the lowest stability.

***

--- i ---
The following is a PBE-GGA calculation of a relaxed structure of K2YIr, from Alexandria. Values from VASP.

Quantum ESPRESSO input file:
```
&SYSTEM
  ibrav = 0, nat = 4, ntyp = 3
/
ATOMIC_SPECIES
Y 88.91 Y.upf
K 39.10 K.upf
Ir 192.22 Ir.upf
CELL_PARAMETERS angstrom
-2.6709 -2.2463 4.1692
-4.5690 -2.8081 -0.8947
-0.0346 -5.4024 0.6124
ATOMIC_POSITIONS crystal
Y 0.0000 0.0000 0.0000
K 0.2500 0.2500 0.2500
K 0.7500 0.7500 0.7500
Ir 0.5000 0.5000 0.5000
```

Computed properties:
total moment = 0.000 μB/atom

***

--- ii ---
The following is a PBE-GGA calculation of a relaxed structure of K2YIr, from Alexandria. Values from VASP.

Quantum ESPRESSO input file:
```
&SYSTEM
  ibrav = 0, nat = 4, ntyp = 3
/
ATOMIC_SPECIES
Ir 192.22 Ir.upf
K 39.10 K.upf
Y 88.91 Y.upf
CELL_PARAMETERS angstrom
-1.0199 3.8359 3.5810
-4.5403 2.8051 -0.3077
-3.8332 -0.7091 3.6581
ATOMIC_POSITIONS crystal
Ir 0.5000 0.5000 0.5000
K 0.0000 0.0000 0.0000
K 0.2500 0.2500 0.2500
Y 0.7500 0.7500 0.7500
```

Computed properties:
total moment = 0.000 μB/atom

***

Of them, i has the lowest stability.

***

--- i ---
The following is a PBE-GGA calculation of a relaxed structure of K2YIr, from Alexandria. Values from VASP.

Quantum ESPRESSO input file:
```
&SYSTEM
  ibrav = 0, nat = 4, ntyp = 3
/
ATOMIC_SPECIES
Ir 192.22 Ir.upf
K 39.10 K.upf
Y 88.91 Y.upf
CELL_PARAMETERS angstrom
7.6690 0.0238 -0.0065
4.2312 6.3962 0.0065
-5.1848 -4.6286 3.2417
ATOMIC_POSITIONS crystal
Ir 0.2782 0.7782 0.5000
K 0.0725 0.0725 0.0000
K 0.7428 0.2428 0.5000
Y 0.4065 0.4065 0.0000
```

Computed properties:
total moment = 0.000 μB/atom

***

--- ii ---
The following is a PBE-GGA calculation of a relaxed structure of K2YIr, from Alexandria. Values from VASP.

Quantum ESPRESSO input file:
```
&SYSTEM
  ibrav = 0, nat = 4, ntyp = 3
/
ATOMIC_SPECIES
Ir 192.22 Ir.upf
K 39.10 K.upf
Y 88.91 Y.upf
CELL_PARAMETERS angstrom
-1.2967 -3.8505 -1.0236
2.7930 -3.0536 -0.6564
0.0357 -4.8968 10.2293
ATOMIC_POSITIONS crystal
Ir 0.2357 0.2357 0.2892
K 0.9639 0.9639 0.0947
K 0.7663 0.7663 0.7174
Y 0.5341 0.5341 0.3988
```

Computed properties:
total moment = 0.000 μB/atom

***

--- iii ---
The following is a PBE-GGA calculation of a relaxed structure of K2YIr, from Alexandria. Values from VASP.

Quantum ESPRESSO input file:
```
&SYSTEM
  ibrav = 0, nat = 8, ntyp = 3
/
ATOMIC_SPECIES
Y 88.91 Y.upf
K 39.10 K.upf
Ir 192.22 Ir.upf
CELL_PARAMETERS angstrom
4.2516 0.0000 0.0000
0.0000 4.2516 0.0000
2.1258 2.1258 12.8552
ATOMIC_POSITIONS crystal
Y 0.5000 0.5000 0.0000
Y 0.2500 0.7500 0.5000
K 0.6424 0.1250 0.2500
K 0.1076 0.6250 0.2500
K 0.3750 0.3576 0.7500
K 0.8750 0.8924 0.7500
Ir 0.0000 0.0000 0.0000
Ir 0.7500 0.2500 0.5000
```

Computed properties:
total moment = 0.000 μB/atom

***

Of them, iii has the lowest stability.

***

--- i ---
The following is a PBE-GGA calculation of a relaxed structure of K2YIr, from Alexandria. Values from VASP.

Quantum ESPRESSO input file:
```
&SYSTEM
  ibrav = 0, nat = 4, ntyp = 3
/
ATOMIC_SPECIES
Ir 192.22 Ir.upf
K 39.10 K.upf
Y 88.91 Y.upf
CELL_PARAMETERS angstrom
3.1404 0.0000 0.0000
0.0000 3.1404 0.0000
0.0000 0.0000 12.3962
ATOMIC_POSITIONS crystal
Ir 0.5000 0.5000 0.7500
K 0.0000 0.0000 0.9439
K 0.0000 0.0000 0.5561
Y 0.5000 0.5000 0.2500
```

Computed properties:
total moment = 0.131 μB/atom

***

--- ii ---
The following is a PBE-GGA calculation of a relaxed structure of K2YIr, from Alexandria. Values from VASP.

Quantum ESPRESSO input file:
```
&SYSTEM
  ibrav = 0, nat = 4, ntyp = 3
/
ATOMIC_SPECIES
Ir 192.22 Ir.upf
K 39.10 K.upf
Y 88.91 Y.upf
CELL_PARAMETERS angstrom
6.3428 0.0000 0.0000
0.0000 4.2906 0.0050
0.0000 0.2969 4.2803
ATOMIC_POSITIONS crystal
Ir 0.5000 0.7500 0.7500
K 0.0000 0.9767 0.9766
K 0.0000 0.5233 0.5234
Y 0.5000 0.2500 0.2500
```

Computed properties:
total moment = 0.000 μB/atom

***

--- iii ---
The following is a PBE-GGA calculation of a relaxed structure of K2YIr, from Alexandria. Values from VASP.

Quantum ESPRESSO input file:
```
&SYSTEM
  ibrav = 0, nat = 4, ntyp = 3
/
ATOMIC_SPECIES
Ir 192.22 Ir.upf
K 39.10 K.upf
Y 88.91 Y.upf
CELL_PARAMETERS angstrom
6.6189 -0.0107 0.0000
-4.1888 5.1248 0.0000
0.0000 0.0000 3.5348
ATOMIC_POSITIONS crystal
Ir 0.0000 0.5000 0.5000
K 0.0000 0.0000 0.0000
K 0.5000 0.5000 0.0000
Y 0.5000 0.0000 0.5000
```

Computed properties:
total moment = 0.129 μB/atom

***

--- iv ---
The following is a PBE-GGA calculation of a relaxed structure of K2YIr, from Alexandria. Values from VASP.

Quantum ESPRESSO input file:
```
&SYSTEM
  ibrav = 0, nat = 4, ntyp = 3
/
ATOMIC_SPECIES
Ir 192.22 Ir.upf
K 39.10 K.upf
Y 88.91 Y.upf
CELL_PARAMETERS angstrom
3.6570 0.0000 0.0000
0.0000 3.6570 0.0000
0.0000 0.0000 11.2739
ATOMIC_POSITIONS crystal
Ir 0.5000 0.5000 0.7005
K 0.0000 0.0000 0.9130
K 0.5000 0.5000 0.2873
Y 0.0000 0.0000 0.5992
```

Computed properties:
total moment = 0.000 μB/atom

***

Of them, i has the lowest stability.

***

--- i ---
The following is a PBE-GGA calculation of a relaxed structure of K2YIr, from Alexandria. Values from VASP.

Quantum ESPRESSO input file:
```
&SYSTEM
  ibrav = 0, nat = 4, ntyp = 3
/
ATOMIC_SPECIES
Ir 192.22 Ir.upf
K 39.10 K.upf
Y 88.91 Y.upf
CELL_PARAMETERS angstrom
3.5576 0.0000 0.0000
0.0000 5.8830 0.0000
0.0000 0.0000 5.7220
ATOMIC_POSITIONS crystal
Ir 0.5000 0.5000 0.7500
K 0.0000 0.0000 0.9851
K 0.0000 0.0000 0.5149
Y 0.5000 0.5000 0.2500
```

Computed properties:
total moment = 0.151 μB/atom

***

--- ii ---
The following is a PBE-GGA calculation of a relaxed structure of K2YIr, from Alexandria. Values from VASP.

Quantum ESPRESSO input file:
```
&SYSTEM
  ibrav = 0, nat = 4, ntyp = 3
/
ATOMIC_SPECIES
Ir 192.22 Ir.upf
K 39.10 K.upf
Y 88.91 Y.upf
CELL_PARAMETERS angstrom
4.7700 0.0000 0.0000
0.0000 4.7700 0.0000
0.0000 0.0000 5.6978
ATOMIC_POSITIONS crystal
Ir 0.5000 0.5000 0.7500
K 0.0000 0.0000 0.9831
K 0.0000 0.0000 0.5169
Y 0.5000 0.5000 0.2500
```

Computed properties:
total moment = 0.000 μB/atom

***

--- iii ---
The following is a PBE-GGA calculation of a relaxed structure of K2YIr, from Alexandria. Values from VASP.

Quantum ESPRESSO input file:
```
&SYSTEM
  ibrav = 0, nat = 4, ntyp = 3
/
ATOMIC_SPECIES
Ir 192.22 Ir.upf
K 39.10 K.upf
Y 88.91 Y.upf
CELL_PARAMETERS angstrom
-0.1539 -5.4377 -4.5041
5.4245 3.8198 2.4214
2.9992 -2.7655 1.2809
ATOMIC_POSITIONS crystal
Ir 0.0000 0.5000 0.5000
K 0.0000 0.0000 0.0000
K 0.5000 0.5000 0.0000
Y 0.5000 0.0000 0.5000
```

Computed properties:
total moment = 0.000 μB/atom

***

Of them, ii has the lowest stability.

***

--- i ---
The following is a PBE-GGA calculation of a relaxed structure of K2YIr, from Alexandria. Values from VASP.

Quantum ESPRESSO input file:
```
&SYSTEM
  ibrav = 0, nat = 4, ntyp = 3
/
ATOMIC_SPECIES
Ir 192.22 Ir.upf
K 39.10 K.upf
Y 88.91 Y.upf
CELL_PARAMETERS angstrom
-1.0460 -0.7417 -2.9153
-2.2094 -0.1635 2.2881
-2.9765 12.0973 -2.0096
ATOMIC_POSITIONS crystal
Ir 0.5000 0.5000 0.7500
K 0.0000 0.0000 0.9534
K 0.0000 0.0000 0.5466
Y 0.5000 0.5000 0.2500
```

Computed properties:
total moment = 0.096 μB/atom

***

--- ii ---
The following is a PBE-GGA calculation of a relaxed structure of K2YIr, from Alexandria. Values from VASP.

Quantum ESPRESSO input file:
```
&SYSTEM
  ibrav = 0, nat = 4, ntyp = 3
/
ATOMIC_SPECIES
Ir 192.22 Ir.upf
K 39.10 K.upf
Y 88.91 Y.upf
CELL_PARAMETERS angstrom
10.7112 0.0305 0.0042
9.2486 5.4031 -0.0042
-9.8732 -3.1089 2.7542
ATOMIC_POSITIONS crystal
Ir 0.2500 0.7500 0.5000
K 0.0983 0.0983 0.0000
K 0.4017 0.4017 0.0000
Y 0.7500 0.2500 0.5000
```

Computed properties:
total moment = 0.000 μB/atom

***

--- iii ---
The following is a PBE-GGA calculation of a relaxed structure of K2YIr, from Alexandria. Values from VASP.

Quantum ESPRESSO input file:
```
&SYSTEM
  ibrav = 0, nat = 4, ntyp = 3
/
ATOMIC_SPECIES
Ir 192.22 Ir.upf
K 39.10 K.upf
Y 88.91 Y.upf
CELL_PARAMETERS angstrom
-12.6863 1.2717 0.6503
-12.4288 -1.3158 2.6028
-12.0664 1.6792 3.8163
ATOMIC_POSITIONS crystal
Ir 0.2500 0.2500 0.2500
K 0.9845 0.9845 0.9845
K 0.5155 0.5155 0.5155
Y 0.7500 0.7500 0.7500
```

Computed properties:
total moment = 0.126 μB/atom

***

Of them, i has the lowest stability.

***

--- i ---
The following is a PBE-GGA calculation of a relaxed structure of KYIr, from Alexandria. Values from VASP.

Quantum ESPRESSO input file:
```
&SYSTEM
  ibrav = 0, nat = 3, ntyp = 3
/
ATOMIC_SPECIES
Ir 192.22 Ir.upf
K 39.10 K.upf
Y 88.91 Y.upf
CELL_PARAMETERS angstrom
7.9958 0.0021 -0.0022
7.2166 3.4438 0.0067
0.7792 0.1692 3.4376
ATOMIC_POSITIONS crystal
Ir 0.0246 0.0246 0.9754
K 0.3670 0.3670 0.6330
Y 0.6084 0.6084 0.3916
```

Computed properties:
total moment = 0.000 μB/atom

***

--- ii ---
The following is a PBE-GGA calculation of a relaxed structure of KYIr, from Alexandria. Values from VASP.

Quantum ESPRESSO input file:
```
&SYSTEM
  ibrav = 0, nat = 3, ntyp = 3
/
ATOMIC_SPECIES
Ir 192.22 Ir.upf
K 39.10 K.upf
Y 88.91 Y.upf
CELL_PARAMETERS angstrom
4.9189 0.0000 0.0000
2.4594 4.2599 0.0000
2.4594 1.4200 4.0163
ATOMIC_POSITIONS crystal
Ir 0.7500 0.7500 0.7500
K 0.0000 0.0000 0.0000
Y 0.5000 0.5000 0.5000
```

Computed properties:
total moment = 0.000 μB/atom

***

Of them, ii has the lowest stability.

***

--- i ---
The following is a PBE-GGA calculation of a relaxed structure of KZn2Ir, from Alexandria. Values from VASP.

Quantum ESPRESSO input file:
```
&SYSTEM
  ibrav = 0, nat = 4, ntyp = 3
/
ATOMIC_SPECIES
Zn 65.41 Zn.upf
Ir 192.22 Ir.upf
K 39.10 K.upf
CELL_PARAMETERS angstrom
0.0000 3.3319 3.3319
3.3319 0.0000 3.3319
3.3319 3.3319 0.0000
ATOMIC_POSITIONS crystal
Zn 0.2500 0.2500 0.2500
Zn 0.7500 0.7500 0.7500
Ir 0.5000 0.5000 0.5000
K 0.0000 0.0000 0.0000
```

Computed properties:
total moment = 0.000 μB/atom

***

--- ii ---
The following is a PBE-GGA calculation of a relaxed structure of KZn2Ir, from Alexandria. Values from VASP.

Quantum ESPRESSO input file:
```
&SYSTEM
  ibrav = 0, nat = 4, ntyp = 3
/
ATOMIC_SPECIES
Ir 192.22 Ir.upf
K 39.10 K.upf
Zn 65.41 Zn.upf
CELL_PARAMETERS angstrom
7.5045 -0.0027 -0.0068
-3.1658 3.7268 0.0002
1.1730 0.9997 2.5363
ATOMIC_POSITIONS crystal
Ir 0.0000 0.5000 0.5000
K 0.5000 0.5000 0.0000
Zn 0.0000 0.0000 0.0000
Zn 0.5000 0.0000 0.5000
```

Computed properties:
total moment = 0.000 μB/atom

***

Of them, ii has the lowest stability.

***

--- i ---
The following is a PBE-GGA calculation of a relaxed structure of KZn2Ir, from Alexandria. Values from VASP.

Quantum ESPRESSO input file:
```
&SYSTEM
  ibrav = 0, nat = 8, ntyp = 3
/
ATOMIC_SPECIES
Zn 65.41 Zn.upf
Ir 192.22 Ir.upf
K 39.10 K.upf
CELL_PARAMETERS angstrom
5.2267 0.0000 0.0000
0.0000 5.2267 0.0000
2.6133 2.6133 8.2614
ATOMIC_POSITIONS crystal
Zn 0.8750 0.1250 0.2500
Zn 0.8750 0.6250 0.2500
Zn 0.3750 0.1250 0.7500
Zn 0.8750 0.1250 0.7500
Ir 0.0000 0.0000 0.0000
Ir 0.7500 0.2500 0.5000
K 0.5000 0.5000 0.0000
K 0.2500 0.7500 0.5000
```

Computed properties:
total moment = 0.000 μB/atom

***

--- ii ---
The following is a PBE-GGA calculation of a relaxed structure of KZn2Ir, from Alexandria. Values from VASP.

Quantum ESPRESSO input file:
```
&SYSTEM
  ibrav = 0, nat = 4, ntyp = 3
/
ATOMIC_SPECIES
Ir 192.22 Ir.upf
K 39.10 K.upf
Zn 65.41 Zn.upf
CELL_PARAMETERS angstrom
-0.6098 -2.2971 -2.0990
2.1374 -1.8639 1.4185
-5.7910 -2.9247 4.8829
ATOMIC_POSITIONS crystal
Ir 0.5000 0.5000 0.2500
K 0.5000 0.5000 0.7500
Zn 0.0000 0.0000 0.0811
Zn 0.0000 0.0000 0.4189
```

Computed properties:
total moment = 0.111 μB/atom

***

--- iii ---
The following is a PBE-GGA calculation of a relaxed structure of KZn2Ir, from Alexandria. Values from VASP.

Quantum ESPRESSO input file:
```
&SYSTEM
  ibrav = 0, nat = 4, ntyp = 3
/
ATOMIC_SPECIES
Ir 192.22 Ir.upf
K 39.10 K.upf
Zn 65.41 Zn.upf
CELL_PARAMETERS angstrom
-2.3382 -1.8638 -3.6844
2.3641 -1.2704 -3.9132
0.5277 -4.5934 -1.0669
ATOMIC_POSITIONS crystal
Ir 0.5000 0.5000 0.5000
K 0.7500 0.7500 0.7500
Zn 0.0000 0.0000 0.0000
Zn 0.2500 0.2500 0.2500
```

Computed properties:
total moment = 0.000 μB/atom

***

--- iv ---
The following is a PBE-GGA calculation of a relaxed structure of KZn2Ir, from Alexandria. Values from VASP.

Quantum ESPRESSO input file:
```
&SYSTEM
  ibrav = 0, nat = 4, ntyp = 3
/
ATOMIC_SPECIES
Ir 192.22 Ir.upf
K 39.10 K.upf
Zn 65.41 Zn.upf
CELL_PARAMETERS angstrom
6.0504 0.0095 0.0190
3.2478 5.1048 -0.0190
-3.9168 -3.8886 2.4791
ATOMIC_POSITIONS crystal
Ir 0.5362 0.5362 0.0000
K 0.2608 0.7608 0.5000
Zn 0.9698 0.9698 0.0000
Zn 0.7332 0.2332 0.5000
```

Computed properties:
total moment = 0.081 μB/atom

***

Of them, iii has the lowest stability.